Entry from the Alexandria database: a PBEsol-optimized structure of Na2ZnPtS (SCAN).

calculated total energy: -20.5999 eV/atom
DOS at the Fermi energy: 0.24 states/eV per atom
crystal system: tetragonal
formation energy (no corrections): -0.2466 eV/atom

```
data_Na2ZnPtS
_chemical_formula_sum 'Na2 Zn1 Pt1 S1'
_space_group_name_H-M_alt 'P 4/m m m'
_space_group_IT_number 123
_space_group_name_Hall '-P 4 2'
_cell_length_a 5.2733
_cell_length_b 5.2733
_cell_length_c 4.3873
_cell_angle_alpha 90.00
_cell_angle_beta 90.00
_cell_angle_gamma 90.00
loop_
_atom_site_label
_atom_site_fract_x
_atom_site_fract_y
_atom_site_fract_z
Na1 0.0000 0.5000 0.0000
Zn1 0.0000 0.0000 0.5000
Pt1 0.5000 0.5000 0.5000
S1 0.5000 0.5000 0.0000
```

Entry from the Alexandria database: a PBEsol-optimized structure of Sb2MoPb (SCAN).

calculated total energy: -45.6180 eV/atom
DOS at the Fermi energy: 0.73 states/eV per atom
crystal system: orthorhombic
formation energy (no corrections): 0.6790 eV/atom

```
data_Sb2MoPb
_chemical_formula_sum 'Sb4 Mo2 Pb2'
_space_group_name_H-M_alt 'C m m m'
_space_group_IT_number 65
_space_group_name_Hall '-C 2 2'
_cell_length_a 6.2599
_cell_length_b 8.0545
_cell_length_c 3.5623
_cell_angle_alpha 90.00
_cell_angle_beta 90.00
_cell_angle_gamma 90.00
loop_
_atom_site_label
_atom_site_fract_x
_atom_site_fract_y
_atom_site_fract_z
Sb1 0.2500 0.2500 0.0000
Mo1 0.0000 0.0000 0.5000
Pb1 0.0000 0.5000 0.5000
```